A plane-wave DFT calculation with PBE was carried out for HfAsP2Cl after structural relaxation.

Computed properties:
The uncorrected formation energy is 0.18 eV per atom. The excess energy over the best structure of this formula in the dataset comes out at 0 meV/atom. The total magnetization comes out at 0.00 μB per atom.

a = 5.083 Å, b = 5.083 Å, c = 4.743 Å
α = 90.00°, β = 90.00°, γ = 90.00°
Fractional positions:
As (0.500, 0.500, 0.500)
Cl (0.000, 0.000, 0.500)
Hf (0.000, 0.000, 0.000)
P (0.500, 0.000, 0.000)
P (0.000, 0.500, 0.000)

A plane-wave DFT calculation with PBE was carried out for Pm2Sn3Hg after structural relaxation.

Computed properties:
The formation energy is -1.9 eV/f.u. The total magnetization comes out at 0.00 μB per atom.

a = 3.545 Å, b = 5.740 Å, c = 9.350 Å
α = 107.88°, β = 100.93°, γ = 90.00°
Fractional positions:
Hg (0.000, 0.000, 0.000)
Sn (0.000, 0.500, 0.000)
Sn (0.837, 0.837, 0.674)
Sn (0.163, 0.163, 0.326)
Pm (0.656, 0.656, 0.313)
Pm (0.344, 0.344, 0.687)

A plane-wave DFT calculation with PBE was carried out for CrPRu after structural relaxation.

Computed properties:
The formation energy is -0.1 eV/f.u. The total magnetization comes out at 0.26 μB per atom.

a = 2.762 Å, b = 2.762 Å, c = 5.746 Å
α = 90.00°, β = 90.00°, γ = 120.00°
Fractional positions:
Ru (0.333, 0.667, 0.658)
P (0.667, 0.333, 0.326)
Cr (0.000, 0.000, 0.016)

A plane-wave DFT calculation with PBE was carried out for LaTbDy2Er2 after structural relaxation.

Computed properties:
The formation energy is 1.0 eV/f.u. The total magnetization comes out at 0.00 μB per atom.

a = 3.537 Å, b = 16.080 Å, c = 6.940 Å
α = 90.00°, β = 90.00°, γ = 90.00°
Fractional positions:
Dy (0.000, 0.342, 0.249)
Dy (0.500, 0.158, 0.749)
Dy (0.500, 0.842, 0.251)
Dy (0.000, 0.658, 0.751)
Tb (0.500, 0.500, 0.000)
Tb (0.000, 0.000, 0.500)
La (0.000, 0.000, 0.000)
La (0.500, 0.500, 0.500)
Er (0.000, 0.657, 0.250)
Er (0.500, 0.843, 0.750)
Er (0.000, 0.343, 0.750)
Er (0.500, 0.157, 0.250)

A plane-wave DFT calculation with PBE was carried out for DyFe3Si3 after structural relaxation.

Computed properties:
The uncorrected formation energy is 0.07 eV per atom. The total magnetization comes out at 0.61 μB per atom.

a = 6.248 Å, b = 6.248 Å, c = 6.248 Å
α = 90.00°, β = 90.00°, γ = 90.00°
Fractional positions:
Si (0.750, 0.500, 0.000)
Si (0.500, 0.000, 0.250)
Si (0.000, 0.250, 0.500)
Si (0.000, 0.750, 0.500)
Si (0.500, 0.000, 0.750)
Si (0.250, 0.500, 0.000)
Dy (0.000, 0.000, 0.000)
Dy (0.500, 0.500, 0.500)
Fe (0.750, 0.000, 0.500)
Fe (0.500, 0.750, 0.000)
Fe (0.000, 0.500, 0.750)
Fe (0.500, 0.250, 0.000)
Fe (0.250, 0.000, 0.500)
Fe (0.000, 0.500, 0.250)

A plane-wave DFT calculation with PBE was carried out for TlAsPdPb after structural relaxation.

Computed properties:
The formation energy is -0.8 eV/f.u. The total magnetization comes out at 0.00 μB per atom.

a = 4.334 Å, b = 4.334 Å, c = 7.099 Å
α = 90.01°, β = 107.75°, γ = 120.02°
Fractional positions:
As (0.511, 0.620, 0.131)
Tl (0.375, 0.053, 0.428)
Pb (0.986, 0.858, 0.844)
Pd (0.820, 0.274, 0.094)

A plane-wave DFT calculation with PBE was carried out for CuBiP2Cl after structural relaxation.

Computed properties:
The uncorrected formation energy is 1.12 eV per atom. The excess energy over the best structure of this formula in the dataset comes out at 704 meV/atom. The total magnetization comes out at 0.31 μB per atom.

a = 5.352 Å, b = 5.352 Å, c = 5.330 Å
α = 90.00°, β = 90.00°, γ = 90.00°
Fractional positions:
Cu (0.500, 0.500, 0.500)
Bi (0.000, 0.000, 0.000)
P (0.000, 0.500, 0.000)
P (0.500, 0.000, 0.000)
Cl (0.000, 0.000, 0.500)

A plane-wave DFT calculation with PBE was carried out for Sc5PaIr6 after structural relaxation.

Computed properties:
The formation energy is -11.3 eV/f.u. The total magnetization comes out at 0.00 μB per atom.

a = 4.506 Å, b = 6.969 Å, c = 7.115 Å
α = 90.00°, β = 71.54°, γ = 90.00°
Fractional positions:
Ir (0.834, 0.255, 0.332)
Ir (0.834, 0.745, 0.332)
Ir (0.166, 0.745, 0.668)
Ir (0.166, 0.255, 0.668)
Ir (0.500, 0.259, 0.000)
Ir (0.500, 0.741, 0.000)
Sc (0.332, 0.500, 0.336)
Sc (0.668, 0.500, 0.664)
Sc (0.673, 0.000, 0.655)
Sc (0.000, 0.500, 0.000)
Sc (0.327, 0.000, 0.345)
Pa (0.000, 0.000, 0.000)

Which formula does entry 1 have?
HfAsP2Cl